This record from Alexandria describes a relaxed structure of AcPu2Ag2Sn2. The functional is PBE.

Unit cell a=4.8616 b=4.8616 c=9.5946 alpha=75.32 beta=75.32 gamma=60.00
With the nearest neighbours (Å) after each atom.
Atoms (fractional coordinates):
Ac 0.0000 0.0000 0.0000  6 Sn 3.46
Pu 0.1442 0.1442 0.5676  3 Ag 3.06, 3 Pu 3.07, 4 Sn 3.19-3.42
Pu 0.8558 0.8558 0.4324  3 Ag 3.06, 3 Pu 3.07, 4 Sn 3.19-3.42
Ag 0.5663 0.5663 0.3010  3 Sn 2.90, 3 Pu 3.06
Ag 0.4337 0.4337 0.6990  3 Sn 2.90, 3 Pu 3.06
Sn 0.7400 0.7400 0.7801  3 Ag 2.90, 1 Pu 3.19
Sn 0.2600 0.2600 0.2199  3 Ag 2.90, 1 Pu 3.19

Calculated values
Energy relative to the elements in meV per atom: -297
Crystal system: trigonal